Version P
The following is a GGA-PBE calculation of Ca3VRh after structural relaxation, from Alexandria via LeMat-Bulk.

Cell and atoms, written as POSCAR:
```
Ca3VRh
1.0
5.4179 0.0000 0.0000
0.0000 5.4179 0.0000
0.0000 0.0000 5.4179
Ca V Rh
3 1 1
Direct
0.0000 0.0000 0.5000
0.0000 0.5000 0.0000
0.5000 0.0000 0.0000
0.5000 0.5000 0.5000
0.0000 0.0000 0.0000
```

The total moment comes out at 4.5 μB per cell.

***

Version Q
The following is a GGA-PBE calculation of Ca3VRh after structural relaxation, from Alexandria via LeMat-Bulk.

Cell and atoms, written as POSCAR:
```
Ca3VRh
1.0
5.4790 0.0000 0.0000
0.0000 5.4790 0.0000
0.0000 0.0000 5.4790
Ca V Rh
3 1 1
Direct
0.0000 0.0000 0.5000
0.0000 0.5000 0.0000
0.5000 0.0000 0.0000
0.0000 0.0000 0.0000
0.5000 0.5000 0.5000
```

The total moment comes out at 5.4 μB per cell.

***

Quick one: least stable of them? version Q

***

Version P
The following is a GGA-PBE calculation of CaRhW2 after structural relaxation, from Alexandria via LeMat-Bulk.

Cell and atoms, written as POSCAR:
```
CaRhW2
1.0
1.8849 -2.0445 0.0000
1.8849 2.0445 0.0000
0.0000 0.0000 9.2622
Ca Rh W
1 1 2
Direct
0.0000 0.0000 0.0000
0.0000 0.0000 0.5000
0.5000 0.5000 0.2877
0.5000 0.5000 0.7123
```

The total moment comes out at 0.0 μB per cell.

***

Version Q
The following is a GGA-PBE calculation of CaRhW2 after structural relaxation, from Alexandria via LeMat-Bulk.

Cell and atoms, written as POSCAR:
```
CaRhW2
1.0
-1.8845 1.8845 10.5531
1.8845 -1.8845 10.5531
1.8845 1.8845 -10.5531
Ca Rh W
2 2 4
Direct
0.0000 0.0000 0.0000
0.7500 0.2500 0.5000
0.2500 0.7500 0.5000
0.5000 0.5000 0.0000
0.1360 0.6250 0.0110
0.3750 0.3860 0.5110
0.6140 0.1250 0.9890
0.8750 0.8640 0.4890
```

The total moment comes out at 0.0 μB per cell.

***

Quick one: least stable of them? version Q

***

Version P
The following is a GGA-PBE calculation of CaRhW2 after structural relaxation, from Alexandria via LeMat-Bulk.

Cell and atoms, written as POSCAR:
```
CaRhW2
1.0
3.1265 0.0000 0.0000
0.0000 4.4340 0.0000
0.0000 0.0000 5.0406
Ca Rh W
1 1 2
Direct
0.0000 0.0000 0.0000
0.5000 0.5000 0.0000
0.0000 0.5000 0.5000
0.5000 0.0000 0.5000
```

The total moment comes out at 0.0 μB per cell.

***

Version Q
The following is a GGA-PBE calculation of CaRhW2 after structural relaxation, from Alexandria via LeMat-Bulk.

Cell and atoms, written as POSCAR:
```
CaRhW2
1.0
0.0000 3.2497 3.2497
3.2497 0.0000 3.2497
3.2497 3.2497 0.0000
Ca Rh W
1 1 2
Direct
0.0000 0.0000 0.0000
0.2500 0.2500 0.2500
0.5000 0.5000 0.5000
0.7500 0.7500 0.7500
```

The total moment comes out at 0.0 μB per cell.

***

Quick one: least stable of them? version Q

***

Version P
The following is a GGA-PBE calculation of CaRhW2 after structural relaxation, from Alexandria via LeMat-Bulk.

Cell and atoms, written as POSCAR:
```
CaRhW2
1.0
2.8398 0.0000 0.0000
0.0000 4.2109 0.0000
-1.3756 0.0000 6.1816
Ca Rh W
1 1 2
Direct
0.0000 0.0000 0.0000
0.7103 0.5000 0.2775
0.2720 0.5000 0.6884
0.4736 0.0000 0.4913
```

The total moment comes out at 0.0 μB per cell.

***

Version Q
The following is a GGA-PBE calculation of CaRhW2 after structural relaxation, from Alexandria via LeMat-Bulk.

Cell and atoms, written as POSCAR:
```
CaRhW2
1.0
2.7992 0.0000 0.0000
0.0000 4.9887 0.0000
-0.8486 0.0000 4.9919
Ca Rh W
1 1 2
Direct
0.0000 0.0000 0.0000
0.5000 0.0000 0.5000
0.2710 0.5000 0.7478
0.7290 0.5000 0.2522
```

The total moment comes out at 0.0 μB per cell.

***

Quick one: least stable of them? version Q

***

Version P
The following is a GGA-PBE calculation of Ca2RhW after structural relaxation, from Alexandria via LeMat-Bulk.

Cell and atoms, written as POSCAR:
```
Ca2RhW
1.0
2.8050 -4.8342 0.0000
2.8050 4.8342 0.0000
0.0000 0.0000 2.9754
Ca Rh W
2 1 1
Direct
0.0000 0.5000 0.0000
0.5000 0.0000 0.0000
0.0000 0.0000 0.5000
0.5000 0.5000 0.5000
```

The total moment comes out at 0.0 μB per cell.

***

Version Q
The following is a GGA-PBE calculation of Ca2RhW after structural relaxation, from Alexandria via LeMat-Bulk.

Cell and atoms, written as POSCAR:
```
Ca2RhW
1.0
2.9693 0.0000 0.0000
0.0000 2.9693 0.0000
0.0000 0.0000 9.2520
Ca Rh W
2 1 1
Direct
0.0000 0.0000 0.2240
0.0000 0.0000 0.7760
0.5000 0.5000 0.0000
0.5000 0.5000 0.5000
```

The total moment comes out at 0.0 μB per cell.

***

Quick one: least stable of them? version P

***

Version P
The following is a GGA-PBE calculation of Ca2RhW after structural relaxation, from Alexandria via LeMat-Bulk.

Cell and atoms, written as POSCAR:
```
Ca2RhW
1.0
2.9892 0.0000 0.0000
0.0000 4.8260 0.0000
0.0000 0.0000 5.5880
Ca Rh W
2 1 1
Direct
0.0000 0.0000 0.2444
0.0000 0.0000 0.7556
0.5000 0.5000 0.0000
0.5000 0.5000 0.5000
```

The total moment comes out at 0.0 μB per cell.

***

Version Q
The following is a GGA-PBE calculation of Ca2RhW after structural relaxation, from Alexandria via LeMat-Bulk.

Cell and atoms, written as POSCAR:
```
Ca2RhW
1.0
-1.5653 2.5180 5.1013
1.5653 -2.5180 5.1013
1.5653 2.5180 -5.1013
Ca Rh W
2 1 1
Direct
0.2203 0.2203 0.0000
0.7797 0.7797 0.0000
0.0000 0.5000 0.5000
0.5000 0.0000 0.5000
```

The total moment comes out at 0.0 μB per cell.

***

Quick one: least stable of them? version Q